[1]
A relaxed structure of KY3Bi, computed with PBE.

Lattice parameters (Å, degrees): 5.4869 5.4869 5.4869 90.00 90.00 90.00
With the nearest neighbours (Å) after each atom.
Space group Pm-3m (No. 221)
One atom of each set of equivalent atoms:
K  0.0000  0.0000  0.0000 [1 per cell]  6 Y 2.74
Y  0.0000  0.0000  0.5000 [3 per cell]  2 K 2.74
Bi  0.5000  0.5000  0.5000 [1 per cell]  12 Y 3.88

DOS at the Fermi energy	3.2	states/eV/cell
ΔE_f	1.050	eV per atom
uncorrected energy	-3.824	eV/atom
polymorph energy (0 for the lowest one)	754	meV/atom

[2]
A relaxed structure of TmTiCo, computed with PBE.

Lattice parameters (Å, degrees): 4.2262 4.2262 6.2445 90.00 90.00 90.00
With the nearest neighbours (Å) after each atom.
Space group P4/nmm (No. 129, origin choice 2)
One atom of each set of equivalent atoms:
Tm  0.2500  0.2500  0.1359 [2 per cell]  1 Co 2.74
Ti  0.2500  0.7500  0.5000 [2 per cell]  4 Co 2.44
Co  0.2500  0.2500  0.6964 [2 per cell]  4 Ti 2.44

DOS at the Fermi energy	8.2	states/eV/cell
ΔE_f	-0.263	eV per atom
uncorrected energy	-6.753	eV/atom
polymorph energy (0 for the lowest one)	0	meV/atom

[3]
A relaxed structure of Ti3Zn7Au2, computed with PBE.

Lattice parameters (Å, degrees): 4.2169 3.2559 14.4004 90.00 98.40 90.00
With the nearest neighbours (Å) after each atom.
Space group P2/m (No. 10)
One atom of each set of equivalent atoms:
Ti  0.0000  0.0000  0.0000 [1 per cell]  8 Zn 2.61-2.66
Ti  0.3131  0.5000  0.6270 [2 per cell]  6 Zn 2.88-2.94, 4 Au 2.95
Zn  0.0723  0.5000  0.1431 [2 per cell]  2 Au 2.59, 2 Ti 2.61, 4 Zn 2.68
Zn  0.2303  0.0000  0.4606 [2 per cell]  2 Zn 2.39, 1 Au 2.51
Zn  0.4181  0.0000  0.8380 [2 per cell]  6 Zn 2.68-2.82, 2 Au 2.74
Zn  0.5000  0.5000  0.0000 [1 per cell]  4 Ti 2.66, 8 Zn 2.82-2.94
Au  0.1430  0.0000  0.2845 [2 per cell]  5 Zn 2.51-2.74

DOS at the Fermi energy	7.8	states/eV/cell
ΔE_f	-0.116	eV per atom
uncorrected energy	-3.379	eV/atom

Q: Which formula does entry 1 have?
A: KY3Bi

Q: Look up the uncorrected energy of the second one.
A: -6.753 eV/atom

Repeat the third record exactly.
A relaxed structure of Ti3Zn7Au2, computed with PBE.

Lattice parameters (Å, degrees): 4.2169 3.2559 14.4004 90.00 98.40 90.00
With the nearest neighbours (Å) after each atom.
Space group P2/m (No. 10)
One atom of each set of equivalent atoms:
Ti  0.0000  0.0000  0.0000 [1 per cell]  8 Zn 2.61-2.66
Ti  0.3131  0.5000  0.6270 [2 per cell]  6 Zn 2.88-2.94, 4 Au 2.95
Zn  0.0723  0.5000  0.1431 [2 per cell]  2 Au 2.59, 2 Ti 2.61, 4 Zn 2.68
Zn  0.2303  0.0000  0.4606 [2 per cell]  2 Zn 2.39, 1 Au 2.51
Zn  0.4181  0.0000  0.8380 [2 per cell]  6 Zn 2.68-2.82, 2 Au 2.74
Zn  0.5000  0.5000  0.0000 [1 per cell]  4 Ti 2.66, 8 Zn 2.82-2.94
Au  0.1430  0.0000  0.2845 [2 per cell]  5 Zn 2.51-2.74

DOS at the Fermi energy	7.8	states/eV/cell
ΔE_f	-0.116	eV per atom
uncorrected energy	-3.379	eV/atom